[1]
MnPdS3, optimized geometry, DFT GGA-PBE; E = -4.82 eV/atom
1.0
-0.549 -1.204 4.491
-4.288 -1.618 -0.958
1.798 -4.226 -0.913
S Mn Pd
3 1 1
direct
0.000 0.500 0.000
0.000 0.000 0.500
0.500 0.000 0.000
0.500 0.500 0.500
0.000 0.000 0.000

***

[2]
Ni2Ir7Rh3, optimized geometry, DFT GGA-PBE; E = -7.49 eV/atom; formation energy = 5.80 eV/f.u.
1.0
1.884 -13.177 0.000
1.884 13.177 0.000
0.000 0.000 3.717
Ni Ir Rh
2 7 3
direct
0.636 0.364 0.500
0.364 0.636 0.500
0.722 0.278 0.500
0.278 0.722 0.500
0.574 0.426 0.000
0.000 0.000 0.000
0.426 0.574 0.000
0.926 0.074 0.500
0.074 0.926 0.500
0.500 0.500 0.500
0.178 0.822 0.000
0.822 0.178 0.000

***

[3]
Sm2Ho3Al4, optimized geometry, DFT GGA-PBE; E = -4.45 eV/atom; formation energy = -1.89 eV/f.u.
1.0
-2.611 -0.384 5.662
6.307 -3.509 2.671
5.124 8.842 -0.484
Sm Ho Al
4 6 8
direct
0.089 0.603 0.178
0.911 0.397 0.822
0.411 0.103 0.822
0.589 0.897 0.178
0.000 0.000 0.000
0.500 0.500 0.000
0.501 0.750 0.503
0.999 0.250 0.497
0.499 0.250 0.497
0.001 0.750 0.503
0.664 0.750 0.827
0.836 0.250 0.173
0.336 0.250 0.173
0.164 0.750 0.827
0.152 0.992 0.304
0.848 0.008 0.696
0.348 0.492 0.696
0.652 0.508 0.304

***

[4]
V2TcS, optimized geometry, DFT GGA-PBE; E = -8.42 eV/atom
1.0
3.035 0.000 0.000
0.000 3.035 0.000
0.000 0.000 5.834
S Tc V
1 1 2
direct
0.500 0.500 0.000
0.500 0.500 0.500
0.000 0.000 0.758
0.000 0.000 0.242

***

[5]
TbCeGdPa, optimized geometry, DFT GGA-PBE; E = -8.18 eV/atom; formation energy = 1.43 eV/f.u.
1.0
5.544 0.000 0.000
2.772 4.801 0.000
2.772 1.600 4.527
Gd Pa Tb Ce
1 1 1 1
direct
0.750 0.750 0.750
0.500 0.500 0.500
0.000 0.000 0.000
0.250 0.250 0.250

***

[6]
TiCo4Ge2, optimized geometry, DFT GGA-PBE; E = -6.71 eV/atom; formation energy = -1.41 eV/f.u.
1.0
8.011 0.000 0.000
0.000 4.467 -2.067
0.000 -0.355 5.093
Ti Co Ge
2 8 4
direct
0.000 0.000 0.000
0.500 0.500 0.000
0.798 0.500 0.000
0.750 0.500 0.500
0.750 0.000 0.500
0.702 0.000 0.000
0.298 0.000 0.000
0.250 0.000 0.500
0.250 0.500 0.500
0.202 0.500 0.000
0.000 0.685 0.370
0.000 0.315 0.630
0.500 0.815 0.630
0.500 0.185 0.370

***

[7]
AuSN2O, optimized geometry, DFT GGA-PBE; E = -4.20 eV/atom
1.0
-2.449 2.989 0.618
-2.608 -2.461 1.566
1.361 0.488 3.033
S Au O N
1 1 1 2
direct
0.000 0.000 0.000
0.500 0.500 0.500
0.000 0.000 0.500
0.000 0.500 0.000
0.500 0.000 0.000

***

[8]
Cd2In4Sn5, optimized geometry, DFT GGA-PBE; E = -2.91 eV/atom; formation energy = 0.84 eV/f.u.
1.0
6.660 -0.010 -1.527
-0.551 5.776 -2.444
-0.287 -0.049 8.059
Cd In Sn
2 4 5
direct
0.250 0.266 0.532
0.750 0.734 0.468
0.632 0.431 0.862
0.368 0.569 0.138
0.342 0.784 0.567
0.658 0.216 0.433
0.039 0.147 0.796
0.961 0.853 0.204
0.500 0.000 0.000
0.039 0.649 0.796
0.961 0.351 0.204

***

[9]
Pm6HoEr8, optimized geometry, DFT GGA-PBE; E = -4.52 eV/atom; formation energy = 1.84 eV/f.u.
1.0
3.329 -0.288 7.992
6.558 -5.498 1.343
7.868 3.447 1.120
Pm Ho Er
6 1 8
direct
0.896 0.461 0.774
0.226 0.104 0.539
0.539 0.226 0.104
0.461 0.774 0.896
0.774 0.896 0.461
0.104 0.539 0.226
0.000 0.000 0.000
0.112 0.718 0.748
0.252 0.888 0.282
0.282 0.252 0.888
0.577 0.577 0.577
0.423 0.423 0.423
0.718 0.748 0.112
0.748 0.112 0.718
0.888 0.282 0.252

***

[10]
ThSiS4Br, optimized geometry, DFT GGA-PBE; E = -5.43 eV/atom
1.0
-5.295 4.836 -1.536
-5.597 -3.989 -2.560
-4.828 -0.590 6.505
Th Si S Br
2 2 8 2
direct
0.213 0.213 0.904
0.787 0.787 0.096
0.641 0.641 0.727
0.359 0.359 0.273
0.297 0.297 0.539
0.703 0.703 0.461
0.114 0.473 0.149
0.543 0.543 0.234
0.527 0.886 0.851
0.473 0.114 0.149
0.457 0.457 0.766
0.886 0.527 0.851
0.005 0.005 0.217
0.995 0.995 0.783

***

[11]
Ta4HgW, optimized geometry, DFT GGA-PBE; E = -9.56 eV/atom; formation energy = 3.29 eV/f.u.
1.0
5.222 -1.171 0.905
2.664 2.433 4.056
1.421 -2.839 4.403
Ta Hg W
4 1 1
direct
0.870 0.377 0.377
0.377 0.377 0.870
0.377 0.870 0.377
0.377 0.377 0.377
0.000 0.000 0.000
0.750 0.750 0.750

***

[12]
CaZn2Se, optimized geometry, DFT GGA-PBE; E = -2.60 eV/atom
1.0
3.806 0.000 0.000
0.000 3.837 0.000
0.000 0.000 6.476
Zn Ca Se
2 1 1
direct
0.000 0.000 0.098
0.500 0.500 0.130
0.000 0.000 0.559
0.500 0.500 0.713

***

[13]
LaInAgHg, optimized geometry, DFT GGA-PBE; E = -3.12 eV/atom; formation energy = -1.68 eV/f.u.
1.0
5.211 0.000 0.000
2.605 4.512 0.000
2.605 1.504 4.254
In Hg Ag La
1 1 1 1
direct
0.250 0.250 0.250
0.000 0.000 0.000
0.500 0.500 0.500
0.750 0.750 0.750

***

[14]
PuZn6Ag6, optimized geometry, DFT GGA-PBE; E = -3.07 eV/atom; formation energy = -0.89 eV/f.u.
1.0
4.851 0.000 1.939
2.402 6.591 1.030
-0.021 -0.093 7.089
Pu Zn Ag
1 6 6
direct
0.000 0.000 0.000
0.000 0.500 0.000
0.500 0.500 0.000
0.000 0.000 0.500
0.500 0.000 0.500
0.500 0.777 0.223
0.500 0.223 0.777
0.349 0.651 0.651
0.651 0.349 0.349
0.000 0.346 0.654
0.000 0.654 0.346
0.297 0.203 0.203
0.703 0.797 0.797

***

[15]
SbPPb, optimized geometry, DFT GGA-PBE; E = -4.27 eV/atom
1.0
-1.852 4.463 -0.123
-0.252 -1.768 4.719
7.891 2.063 -0.883
Sb P Pb
2 2 2
direct
0.784 0.548 0.221
0.636 0.928 0.499
0.273 0.958 0.188
0.411 0.663 0.004
0.919 0.074 0.923
0.082 0.597 0.631

***

[16]
VPdS2Cl, optimized geometry, DFT GGA-PBE; E = -4.27 eV/atom
1.0
-0.134 1.440 4.498
3.279 -3.210 1.125
3.348 3.107 -0.895
S Cl Pd V
2 1 1 1
direct
0.000 0.500 0.000
0.500 0.000 0.000
0.000 0.000 0.500
0.000 0.000 0.000
0.500 0.500 0.500

***

[17]
Mg3InTe4, optimized geometry, DFT GGA-PBE; E = -3.17 eV/atom
1.0
6.636 0.000 0.000
0.000 6.636 0.000
-3.318 -3.318 6.641
Mg In Te
3 1 4
direct
0.500 0.500 0.000
0.750 0.250 0.500
0.250 0.750 0.500
0.000 0.000 0.000
0.397 0.397 0.262
0.866 0.866 0.262
0.134 0.603 0.738
0.603 0.134 0.738

***

[18]
NiH12C2S2N6, optimized geometry, DFT GGA-PBE; E = -5.56 eV/atom
1.0
0.227 -1.475 6.853
3.201 -6.203 0.683
5.700 1.461 1.628
Ni H C S N
1 12 2 2 6
direct
0.000 0.000 0.000
0.297 0.002 0.214
0.998 0.703 0.786
0.703 0.998 0.786
0.002 0.297 0.214
0.274 0.766 0.260
0.234 0.726 0.740
0.726 0.234 0.740
0.766 0.274 0.260
0.393 0.865 0.010
0.135 0.607 0.990
0.607 0.135 0.990
0.865 0.393 0.010
0.767 0.767 0.458
0.233 0.233 0.542
0.654 0.654 0.699
0.346 0.346 0.301
0.728 0.102 0.859
0.898 0.272 0.141
0.851 0.851 0.286
0.149 0.149 0.714
0.272 0.898 0.141
0.102 0.728 0.859

***

[19]
SrYMn2W, optimized geometry, DFT GGA-PBE; E = -6.77 eV/atom; formation energy = 5.61 eV/f.u.
1.0
4.829 0.000 0.000
0.000 5.456 0.000
0.000 0.000 4.829
Y Sr Mn W
1 1 2 1
direct
0.500 0.500 0.500
0.000 0.500 0.000
0.000 0.000 0.500
0.500 0.000 0.000
0.000 0.000 0.000

***

[20]
AlSi2Os, optimized geometry, DFT GGA-PBE; E = -6.63 eV/atom
1.0
-0.253 -0.580 4.211
-2.869 -1.117 -0.326
0.212 -4.653 -0.628
Si Os Al
2 1 1
direct
0.000 0.801 0.023
0.500 0.223 0.179
0.500 0.942 0.740
0.000 0.534 0.559

***

[21]
LiCdIn2Te4, optimized geometry, DFT GGA-PBE; E = -3.06 eV/atom
1.0
-2.535 2.530 5.801
5.916 -1.972 2.754
0.799 5.307 -5.627
Li Cd In Te
1 1 2 4
direct
0.506 0.506 0.012
0.002 0.002 0.005
0.758 0.258 0.516
0.258 0.758 0.516
0.617 0.617 0.747
0.366 0.863 0.229
0.863 0.366 0.229
0.130 0.130 0.747

***

[22]
Sr2PCl, optimized geometry, DFT GGA-PBE; E = -4.15 eV/atom
1.0
0.000 3.744 3.744
3.744 0.000 3.744
3.744 3.744 0.000
Sr P Cl
2 1 1
direct
0.250 0.250 0.250
0.750 0.750 0.750
0.000 0.000 0.000
0.500 0.500 0.500

***

[23]
CaLa4Ir2, optimized geometry, DFT GGA-PBE; E = -6.08 eV/atom; formation energy = -3.11 eV/f.u.
1.0
-0.090 -6.693 -1.617
6.739 -1.113 4.253
-7.896 2.311 5.509
Ca Ir La
2 4 8
direct
0.223 0.020 0.040
0.434 0.730 0.460
0.274 0.364 0.728
0.795 0.386 0.773
0.562 0.375 0.249
0.562 0.875 0.249
0.442 0.233 0.466
0.825 0.618 0.235
0.840 0.133 0.265
0.955 0.062 0.627
0.955 0.565 0.627
0.226 0.517 0.034
0.578 0.689 0.874
0.578 0.185 0.874